1.
Density functional theory data (PBE) for SbPSe after structural relaxation.

Summary:
Total magnetic moment in μB per cell: 0.00
Energy relative to the lowest polymorph listed for this composition in eV/f.u.: 1.50
Space-group type: F-43m, No. 216

a = 6.708 Å, b = 6.708 Å, c = 6.708 Å
α = 90.00°, β = 90.00°, γ = 90.00°
Sites, in units of the cell vectors:
Sb  0.000  0.000  0.000
Sb  0.000  0.500  0.500
Sb  0.500  0.000  0.500
Sb  0.500  0.500  0.000
P  0.250  0.250  0.250
P  0.250  0.750  0.750
P  0.750  0.250  0.750
P  0.750  0.750  0.250
Se  0.250  0.250  0.750
Se  0.250  0.750  0.250
Se  0.750  0.250  0.250
Se  0.750  0.750  0.750



2.
Density functional theory data (PBE) for NaMgRh3 after structural relaxation.

Summary:
Total magnetic moment in μB per cell: 0.00
Energy relative to the lowest polymorph listed for this composition in eV/f.u.: 0.00
Space-group type: Pm-3m, No. 221

a = 4.635 Å, b = 4.635 Å, c = 4.635 Å
α = 90.00°, β = 90.00°, γ = 90.00°
Sites, in units of the cell vectors:
Na  0.000  0.000  0.000
Mg  0.500  0.500  0.500
Rh  0.000  0.500  0.500
Rh  0.500  0.000  0.500
Rh  0.500  0.500  0.000



What did the second record say?
Density functional theory data (PBE) for NaMgRh3 after structural relaxation.

Summary:
Total magnetic moment in μB per cell: 0.00
Energy relative to the lowest polymorph listed for this composition in eV/f.u.: 0.00
Space-group type: Pm-3m, No. 221

a = 4.635 Å, b = 4.635 Å, c = 4.635 Å
α = 90.00°, β = 90.00°, γ = 90.00°
Sites, in units of the cell vectors:
Na  0.000  0.000  0.000
Mg  0.500  0.500  0.500
Rh  0.000  0.500  0.500
Rh  0.500  0.000  0.500
Rh  0.500  0.500  0.000



- What is the formula in the second record?
  NaMgRh3